ErZr3Sc2 PBE optimized geometry; M_tot = 0.00 Bohr magnetons per cell; density of states at the Fermi level = 15.14 states/eV per cell; final energy = -7.13 eV per atom; space-group type = P-1 (2)
1.0
5.876 -1.308 -1.399
-3.556 9.501 -0.443
-2.101 0.659 6.229
Er Zr Sc
2 6 4
Cartesian
-2.722 8.824 0.781 Er
2.940 0.027 3.607 Er
-3.780 9.134 3.898 Zr
-0.772 3.593 0.263 Zr
2.038 4.938 1.061 Zr
3.998 -0.283 0.490 Zr
-1.820 3.913 3.327 Zr
0.991 5.259 4.125 Zr
0.898 2.386 2.694 Sc
2.013 2.049 -0.440 Sc
-1.794 6.803 4.828 Sc
-0.680 6.466 1.694 Sc